This record from the Alexandria database describes crystalline CaTaRu2 at its relaxed geometry. The functional is PBE-GGA.

Cell lengths 5.4581, 5.4581, 5.4581 Å; angles 138.79, 138.79, 59.69 degrees
Atoms (fractional coordinates):
Ru1 0.0000 0.0000 0.0000
Ru2 0.2500 0.7500 0.5000
Ca1 0.7500 0.2500 0.5000
Ta1 0.5000 0.5000 0.0000

Output
calculated volume	70	Å³/cell
SG	I-4m2, No. 119
final energy	-7.718	eV/atom
ΔH_f (0 K)	0.38	eV/atom